[1]
A geometry-optimized CeFe5C2 structure. Source: the Alexandria database, functional PBE.

Properties
energy of formation	5	kJ/mol of atoms
density	8.19	Mg/m³

Cell lengths 3.340, 5.542, 5.542 Å; angles 70.45, 72.46, 72.46 degrees
Each line ends with the local moment (μB).
Fractional coordinates of all 8 atoms:
Fe  0.663  0.149  0.524  1.72
C  0.760  0.740  0.740  -0.07
Fe  0.337  0.851  0.476  1.72
Ce  0.000  0.000  0.000  -0.42
Fe  0.000  0.500  0.500  1.54
C  0.240  0.260  0.260  -0.07
Fe  0.337  0.476  0.851  1.72
Fe  0.663  0.524  0.149  1.72

=====

[2]
A geometry-optimized CeFeC structure. Source: the Alexandria database, functional PBE.

Properties
energy of formation	-21	kJ/mol of atoms
density	7.92	Mg/m³

Cell lengths 6.172, 5.069, 5.806 Å; angles 106.28, 90.00, 90.00 degrees
Fractional coordinates of all 12 atoms:
Ce  0.943  0.670  0.839
C  0.665  0.624  0.196
Ce  0.557  0.170  0.339
Ce  0.057  0.330  0.161
C  0.165  0.876  0.304
Fe  0.877  0.825  0.403
Ce  0.443  0.830  0.661
Fe  0.123  0.175  0.597
C  0.335  0.376  0.804
C  0.835  0.124  0.696
Fe  0.623  0.325  0.903
Fe  0.377  0.675  0.097

=====

[3]
A geometry-optimized CeFeC structure. Source: the Alexandria database, functional PBE.

Properties
energy of formation	30	kJ/mol of atoms
density	8.96	Mg/m³

Cell lengths 2.807, 2.807, 5.278 Å; angles 105.42, 105.42, 90.00 degrees
Each line ends with the local moment (μB).
Fractional coordinates of all 3 atoms:
Fe  0.276  0.276  0.553  1.35
C  0.716  0.716  0.431  -0.02
Ce  0.008  0.008  0.016  0.12

=====

[4]
A geometry-optimized Ce2FeC structure. Source: the Alexandria database, functional PBE.

Properties
energy of formation	26	kJ/mol of atoms
density	7.52	Mg/m³

Cell lengths 3.392, 3.392, 7.959 Å; angles 77.70, 77.70, 60.00 degrees
Each line ends with the local moment (μB).
Fractional coordinates of all 4 atoms:
C  0.500  0.500  0.500  0.01
Ce  0.898  0.898  0.305  -0.33
Fe  0.000  0.000  0.000  1.56
Ce  0.102  0.102  0.695  -0.33

=====

[5]
A geometry-optimized Ce2FeC2 structure. Source: the Alexandria database, functional PBE.

Properties
energy of formation	-19	kJ/mol of atoms
density	7.69	Mg/m³

Cell lengths 5.234, 6.169, 9.637 Å; angles 90.00, 90.00, 90.00 degrees
Fractional coordinates of all 20 atoms:
C  0.750  0.980  0.746
C  0.250  0.681  0.546
Ce  0.750  0.498  0.223
Ce  0.250  0.502  0.777
Fe  0.750  0.237  0.644
C  0.250  0.020  0.254
C  0.250  0.520  0.246
Ce  0.250  0.002  0.723
Fe  0.750  0.737  0.856
Fe  0.250  0.763  0.356
Ce  0.750  0.706  0.542
Ce  0.750  0.998  0.277
C  0.750  0.319  0.454
C  0.750  0.819  0.046
C  0.750  0.480  0.754
C  0.250  0.181  0.954
Ce  0.250  0.294  0.458
Ce  0.250  0.794  0.042
Ce  0.750  0.206  0.958
Fe  0.250  0.263  0.144

=====

[6]
A geometry-optimized CeFeC2 structure. Source: the Alexandria database, functional PBE.

Properties
energy of formation	27	kJ/mol of atoms
density	7.95	Mg/m³

Cell lengths 3.449, 3.449, 4.888 Å; angles 69.34, 69.34, 60.00 degrees
Fractional coordinates of all 4 atoms:
C  0.714  0.714  0.858
Fe  0.000  0.000  0.000
Ce  0.500  0.500  0.500
C  0.286  0.286  0.142

=====

[7]
A geometry-optimized Ce3FeC3 structure. Source: the Alexandria database, functional PBE.

Properties
energy of formation	-18	kJ/mol of atoms
density	7.53	Mg/m³

Cell lengths 5.250, 6.620, 6.622 Å; angles 100.90, 90.00, 90.00 degrees
Fractional coordinates of all 14 atoms:
C  0.750  0.429  0.166
C  0.750  0.834  0.571
C  0.250  0.166  0.429
C  0.250  0.571  0.834
Fe  0.250  0.302  0.698
Ce  0.250  0.423  0.174
Ce  0.250  0.886  0.114
Ce  0.750  0.114  0.886
Ce  0.250  0.825  0.577
Ce  0.750  0.175  0.423
Fe  0.750  0.698  0.302
C  0.750  0.877  0.123
C  0.250  0.123  0.877
Ce  0.750  0.577  0.826

=====

[8]
A geometry-optimized Ce2FeC structure. Source: the Alexandria database, functional PBE.

Properties
energy of formation	-6	kJ/mol of atoms
density	7.12	Mg/m³

Cell lengths 3.668, 7.458, 6.484 Å; angles 106.73, 106.44, 90.00 degrees
Each line ends with the local moment (μB).
Fractional coordinates of all 8 atoms:
Ce  0.860  0.430  0.721  0.85
Ce  0.140  0.570  0.279  0.85
Ce  0.140  0.070  0.279  0.85
Fe  0.499  0.250  0.000  -0.44
Fe  0.501  0.750  0.000  -0.44
C  0.001  0.750  0.000  0.01
C  0.999  0.250  0.000  0.01
Ce  0.860  0.930  0.721  0.85